# NaOsW2 (PBE, optimized geometry)
# ΔE to the lowest computed polymorph = 336 meV/atom
# SG = No. 122
# M_tot = 0.000 μB/f.u.
# VASP energy = -66.84 eV/cell
# DOS at the Fermi energy = 9.2 states/eV/cell
data_NaOsW2
_chemical_formula_sum 'Na2 Os2 W4'
_cell_length_a 7.5018
_cell_length_b 7.5018
_cell_length_c 5.9507
_cell_angle_alpha 50.93
_cell_angle_beta 50.93
_cell_angle_gamma 90.00
_space_group_name_H-M_alt 'P 1'
_space_group_IT_number 1
loop_
_space_group_symop_operation_xyz
'x,y,z'
loop_
_atom_site_label
_atom_site_type_symbol
_atom_site_fract_x
_atom_site_fract_y
_atom_site_fract_z
Na1 Na 0.5000 0.5000 0.0000
W1 W 0.8750 0.9286 0.7500
W2 W 0.3750 0.3214 0.7500
Na2 Na 0.2500 0.7500 0.5000
W3 W 0.0714 0.6250 0.2500
Os1 Os 0.7500 0.2500 0.5000
W4 W 0.6786 0.1250 0.2500
Os2 Os 0.0000 0.0000 0.0000